VASP calculation (PBE) on crystalline Tc3Pb at its relaxed geometry.

## Properties
E above lowest polymorph: 123 meV per atom
Electronic total energy: -8.098 eV/atom
Calculated volume: 134.9 Å³/cell
Formation enthalpy at 0 K: 0.604 eV per atom

a b c (Å): 5.8898 5.8898 4.4912
angles (deg): 90.00 90.00 120.00
Each line ends with the local moment (μB).
Sites, in units of the cell vectors:
1 Tc 0.6934 0.8467 0.7500  0.13
2 Tc 0.3066 0.1533 0.2500  0.13
3 Tc 0.1533 0.3066 0.7500  0.13
4 Tc 0.8467 0.1533 0.2500  0.13
5 Tc 0.1533 0.8467 0.7500  0.13
6 Tc 0.8467 0.6934 0.2500  0.13
7 Pb 0.3333 0.6667 0.2500  0.00
8 Pb 0.6667 0.3333 0.7500  0.00


VASP calculation (PBE) on crystalline Ba2AlNiPd at its relaxed geometry.

## Properties
Electronic total energy: -3.493 eV/atom
Calculated volume: 173.9 Å³/cell
Formation enthalpy at 0 K: 0.220 eV per atom

a b c (Å): 6.0833 4.6999 6.0833
angles (deg): 90.00 90.00 90.00
Each line ends with the local moment (μB).
Sites, in units of the cell vectors:
1 Ba 0.5000 0.0000 0.0000  0.01
2 Ba 0.0000 0.0000 0.5000  0.01
3 Al 0.5000 0.5000 0.5000  0.05
4 Pd 0.0000 0.0000 0.0000  0.16
5 Ni 0.0000 0.5000 0.0000  0.71


VASP calculation (PBE) on crystalline Rb2MgGa2 at its relaxed geometry.

## Properties
E above lowest polymorph: 203 meV per atom
Electronic total energy: -1.587 eV/atom
Calculated volume: 398.7 Å³/cell
Formation enthalpy at 0 K: 0.329 eV per atom

a b c (Å): 10.7452 10.7452 3.4529
angles (deg): 90.00 90.00 90.00
Sites, in units of the cell vectors:
1 Rb 0.2042 0.2958 0.0000
2 Rb 0.7958 0.7042 0.0000
3 Rb 0.2958 0.7958 0.0000
4 Rb 0.7042 0.2042 0.0000
5 Mg 0.5000 0.5000 0.0000
6 Mg 0.0000 0.0000 0.0000
7 Ga 0.0817 0.5817 0.5000
8 Ga 0.4183 0.0817 0.5000
9 Ga 0.9183 0.4183 0.5000
10 Ga 0.5817 0.9183 0.5000


VASP calculation (PBE) on crystalline BePbBr2 at its relaxed geometry.

## Properties
E above lowest polymorph: 670 meV per atom
Electronic total energy: -2.451 eV/atom
Calculated volume: 108.0 Å³/cell
Formation energy (no corrections): 0.244 eV per atom

a b c (Å): 3.9042 6.0835 4.5492
angles (deg): 90.00 90.00 90.00
Sites, in units of the cell vectors:
1 Br 0.0000 0.0000 0.0000
2 Br 0.5000 0.5000 0.0000
3 Be 0.0000 0.5000 0.5000
4 Pb 0.5000 0.0000 0.5000


VASP calculation (PBE) on crystalline CaInPb2 at its relaxed geometry.

## Properties
Electronic total energy: -3.273 eV/atom
Calculated volume: 119.2 Å³/cell
Formation enthalpy at 0 K: -0.234 eV per atom

a b c (Å): 3.9112 4.3363 7.0292
angles (deg): 90.00 90.00 90.00
Sites, in units of the cell vectors:
1 Ca 0.5000 0.5000 0.2500
2 Pb 0.0000 0.0000 0.5173
3 Pb 0.0000 0.0000 0.9827
4 In 0.5000 0.5000 0.7500


VASP calculation (PBE) on crystalline Li14AlZn at its relaxed geometry.

## Properties
Electronic total energy: -2.022 eV/atom
Calculated volume: 290.9 Å³/cell
Formation enthalpy at 0 K: -0.034 eV per atom

a b c (Å): 5.7011 5.7011 9.6070
angles (deg): 90.00 90.00 111.30
Sites, in units of the cell vectors:
1 Li 0.6144 0.8925 0.5000
2 Li 0.3776 0.1438 0.7361
3 Li 0.6471 0.8381 0.0000
4 Li 0.8786 0.1214 0.2572
5 Li 0.8562 0.6224 0.7361
6 Li 0.6600 0.3400 0.0000
7 Li 0.8786 0.1214 0.7428
8 Li 0.3562 0.6438 0.7382
9 Li 0.1505 0.8495 0.0000
10 Li 0.3776 0.1438 0.2639
11 Li 0.1075 0.3856 0.5000
12 Li 0.8562 0.6224 0.2639
13 Li 0.1619 0.3529 0.0000
14 Li 0.3562 0.6438 0.2618
15 Al 0.1122 0.8878 0.5000
16 Zn 0.6091 0.3909 0.5000


VASP calculation (PBE) on crystalline SrZr2Ge at its relaxed geometry.

## Properties
Electronic total energy: -5.489 eV/atom
Calculated volume: 260.1 Å³/cell
Formation enthalpy at 0 K: 0.360 eV per atom

a b c (Å): 5.0858 5.0858 10.6809
angles (deg): 76.23 76.23 90.00
Sites, in units of the cell vectors:
1 Zr 0.3598 0.1250 0.2500
2 Zr 0.8750 0.6098 0.7500
3 Zr 0.3750 0.6402 0.7500
4 Zr 0.3902 0.6250 0.2500
5 Sr 0.0000 0.0000 0.0000
6 Sr 0.7500 0.2500 0.5000
7 Ge 0.5000 0.5000 0.0000
8 Ge 0.2500 0.7500 0.5000


Question: The highest electronic total energy belongs to which entry?
Answer: Rb2MgGa2